No. 1
{"formula": "Ce6Tl2Os", "functional": "PBE", "state": "optimized geometry", "cell": [[-2.9386, 7.0834, 1.4358], [-1.9142, 0.6164, -6.9591], [-7.6972, -3.6389, 1.7949]], "species": ["Ce", "Ce", "Ce", "Ce", "Ce", "Ce", "Ce", "Ce", "Ce", "Ce", "Ce", "Ce", "Os", "Os", "Tl", "Tl", "Tl", "Tl"], "frac_coords": [[0.2456, 0.7542, 0.0099], [0.7544, 0.7543, 0.9900], [0.2544, 0.7457, 0.4900], [0.7456, 0.2543, 0.5100], [0.2544, 0.2542, 0.4901], [0.9329, 0.0000, 0.1808], [0.7544, 0.2458, 0.9901], [0.2456, 0.2457, 0.0100], [0.0671, 0.0000, 0.8192], [0.5671, 0.5000, 0.3192], [0.4329, 0.5000, 0.6808], [0.7456, 0.7458, 0.5099], [0.0000, 0.0000, 0.5000], [0.5000, 0.5000, 0.0000], [0.0102, 0.5000, 0.7511], [0.4898, 0.0000, 0.7489], [0.5102, 0.0000, 0.2511], [0.9898, 0.5000, 0.2489]], "spacegroup": "No. 12", "dos_at_fermi_per_ev_cell": 36.9, "formation_enthalpy_0k_ev_per_atom": -0.188, "vol_a3_per_atom": 27.32}



No. 2
{"formula": "Ce5Tl5Os", "functional": "PBE", "state": "optimized geometry", "cell": [[5.5004, 0.0000, 0.0000], [-2.7502, 9.0978, 0.3860], [0.0000, -2.8702, 6.2559]], "species": ["Tl", "Tl", "Tl", "Tl", "Tl", "Os", "Ce", "Ce", "Ce", "Ce", "Ce"], "frac_coords": [[0.3605, 0.7209, 0.3607], [0.0000, 0.0000, 0.5000], [0.6395, 0.2791, 0.6393], [0.6994, 0.3989, 0.1995], [0.3006, 0.6011, 0.8005], [0.0000, 0.0000, 0.0000], [0.1483, 0.2966, 0.9404], [0.5000, 0.0000, 0.0000], [0.8518, 0.7036, 0.6442], [0.8517, 0.7034, 0.0596], [0.1482, 0.2964, 0.3558]], "spacegroup": "No. 71", "dos_at_fermi_per_ev_cell": 24.6, "formation_enthalpy_0k_ev_per_atom": -0.140, "vol_a3_per_atom": 29.01}



No. 3
{"formula": "Ce8Tl2Os3", "functional": "PBE", "state": "optimized geometry", "cell": [[8.1595, 0.0000, 0.2837], [0.0000, 6.7306, 0.0000], [-2.8516, -3.3653, 6.5438]], "species": ["Ce", "Ce", "Ce", "Ce", "Ce", "Ce", "Ce", "Ce", "Os", "Os", "Os", "Tl", "Tl"], "frac_coords": [[0.1652, 0.8608, 0.7215], [0.0157, 0.6254, 0.2509], [0.8348, 0.1392, 0.2785], [0.6245, 0.1761, 0.7992], [0.3755, 0.8240, 0.2008], [0.9843, 0.3746, 0.7491], [0.3755, 0.3769, 0.2008], [0.6245, 0.6231, 0.7992], [0.0000, 0.1958, 0.0000], [0.0000, 0.8042, 0.0000], [0.5000, 0.0000, 0.0000], [0.2573, 0.2592, 0.5185], [0.7427, 0.7408, 0.4815]], "spacegroup": "No. 12", "dos_at_fermi_per_ev_cell": 33.3, "formation_enthalpy_0k_ev_per_atom": -0.022, "vol_a3_per_atom": 28.06}



No. 4
{"formula": "Ce3TlOs", "functional": "PBE", "state": "optimized geometry", "cell": [[5.4004, 0.0000, 0.0000], [0.0000, 5.4004, 0.0000], [0.0000, 0.0000, 5.4004]], "species": ["Tl", "Ce", "Ce", "Ce", "Os"], "frac_coords": [[0.5000, 0.5000, 0.5000], [0.5000, 0.0000, 0.0000], [0.0000, 0.0000, 0.5000], [0.0000, 0.5000, 0.0000], [0.0000, 0.0000, 0.0000]], "spacegroup": "No. 221", "relative_energy_mev_per_atom": 86, "dos_at_fermi_per_ev_cell": 17.3, "formation_enthalpy_0k_ev_per_atom": -0.074, "vol_a3_per_atom": 31.50}



No. 5
{"formula": "Ce4Tl5Os", "functional": "PBE", "state": "optimized geometry", "cell": [[4.7082, 0.0000, 0.0000], [0.0000, 7.7399, -1.4858], [-2.3541, -3.7145, 8.5416]], "species": ["Tl", "Tl", "Tl", "Tl", "Tl", "Ce", "Ce", "Ce", "Ce", "Os"], "frac_coords": [[0.7191, 0.5986, 0.4382], [0.1418, 0.7692, 0.2837], [0.8582, 0.2308, 0.7163], [0.5000, 0.5000, 0.0000], [0.2809, 0.4014, 0.5618], [0.3473, 0.9429, 0.6945], [0.9432, 0.7294, 0.8863], [0.6527, 0.0571, 0.3055], [0.0568, 0.2706, 0.1137], [0.5000, 0.0000, 0.0000]], "spacegroup": "No. 12", "dos_at_fermi_per_ev_cell": 23.4, "formation_enthalpy_0k_ev_per_atom": -0.163, "vol_a3_per_atom": 28.53}



No. 6
{"formula": "Ce12TlOs6", "functional": "PBE", "state": "optimized geometry", "cell": [[8.4656, -0.2294, -0.3231], [-2.3208, 8.1445, -0.3231], [-2.3208, -2.9894, 7.5829]], "species": ["Ce", "Ce", "Ce", "Ce", "Ce", "Ce", "Ce", "Ce", "Ce", "Ce", "Ce", "Ce", "Tl", "Os", "Os", "Os", "Os", "Os", "Os"], "frac_coords": [[0.1598, 0.4240, 0.4240], [0.5760, 0.8402, 0.5760], [0.8806, 0.1194, 0.5000], [0.5000, 0.1194, 0.8806], [0.4240, 0.1598, 0.4240], [0.8402, 0.5760, 0.5760], [0.5000, 0.8806, 0.1194], [0.5760, 0.5760, 0.8402], [0.4240, 0.4240, 0.1598], [0.1194, 0.5000, 0.8806], [0.1194, 0.8806, 0.5000], [0.8806, 0.5000, 0.1194], [0.0000, 0.0000, 0.0000], [0.2656, 0.2656, 0.6879], [0.6879, 0.2656, 0.2656], [0.3121, 0.7344, 0.7344], [0.2656, 0.6879, 0.2656], [0.7344, 0.7344, 0.3121], [0.7344, 0.3121, 0.7344]], "spacegroup": "No. 166", "dos_at_fermi_per_ev_cell": 42.1, "formation_enthalpy_0k_ev_per_atom": -0.022, "vol_a3_per_atom": 26.43}



No. 7
{"formula": "Ce7TlOs2", "functional": "PBE", "state": "optimized geometry", "cell": [[5.2667, 0.0000, 0.0000], [0.0000, 8.0605, 0.1266], [0.0000, -3.4422, 7.2896]], "species": ["Ce", "Ce", "Ce", "Ce", "Ce", "Ce", "Ce", "Os", "Os", "Tl"], "frac_coords": [[0.0000, 0.2848, 0.7152], [0.5000, 0.9486, 0.7103], [0.5000, 0.2897, 0.0514], [0.5000, 0.7103, 0.9486], [0.0000, 0.7152, 0.2848], [0.5000, 0.5000, 0.5000], [0.5000, 0.0514, 0.2897], [0.5000, 0.6912, 0.3088], [0.5000, 0.3088, 0.6912], [0.0000, 0.0000, 0.0000]], "spacegroup": "No. 65", "dos_at_fermi_per_ev_cell": 31.6, "formation_enthalpy_0k_ev_per_atom": 0.030, "vol_a3_per_atom": 31.18}



No. 8
{"formula": "CeYTlOs", "functional": "PBE", "state": "optimized geometry", "cell": [[-3.8424, -0.4808, 3.3730], [1.0278, -0.5609, 5.0002], [-1.0322, 3.8165, 3.2775]], "species": ["Os", "Tl", "Y", "Ce"], "frac_coords": [[0.5000, 0.5000, 0.5000], [0.0000, 0.0000, 0.0000], [0.7500, 0.7500, 0.7500], [0.2500, 0.2500, 0.2500]], "spacegroup": "No. 216", "relative_energy_mev_per_atom": 225, "dos_at_fermi_per_ev_cell": 5.7, "formation_enthalpy_0k_ev_per_atom": -0.065, "vol_a3_per_atom": 23.94}



No. 9
{"formula": "CeYTlOs", "functional": "PBE", "state": "optimized geometry", "cell": [[3.3829, 0.0000, 0.0000], [0.0000, 3.3829, 0.0000], [0.0000, 0.0000, 8.5102]], "species": ["Ce", "Y", "Os", "Tl"], "frac_coords": [[0.5000, 0.5000, 0.3688], [0.5000, 0.5000, 0.7771], [0.0000, 0.0000, 0.5722], [0.0000, 0.0000, 0.0666]], "spacegroup": "No. 99", "relative_energy_mev_per_atom": 0, "dos_at_fermi_per_ev_cell": 3.5, "formation_enthalpy_0k_ev_per_atom": -0.291, "vol_a3_per_atom": 24.35}



No. 10
{"formula": "Ce2TlZnOs", "functional": "PBE", "state": "optimized geometry", "cell": [[4.0111, 0.0000, 0.0000], [0.0000, 8.0655, 0.2464], [0.0000, -3.0858, 7.4738]], "species": ["Zn", "Zn", "Os", "Os", "Ce", "Ce", "Ce", "Ce", "Tl", "Tl"], "frac_coords": [[0.7500, 0.4380, 0.3616], [0.2500, 0.5620, 0.6384], [0.7500, 0.1265, 0.1123], [0.2500, 0.8735, 0.8877], [0.2500, 0.1066, 0.3382], [0.7500, 0.7152, 0.0057], [0.2500, 0.2848, 0.9943], [0.7500, 0.8934, 0.6618], [0.7500, 0.3163, 0.6793], [0.2500, 0.6837, 0.3207]], "spacegroup": "No. 11", "dos_at_fermi_per_ev_cell": 14.2, "formation_enthalpy_0k_ev_per_atom": -0.227, "vol_a3_per_atom": 24.48}



No. 11
{"formula": "Ce12TmOs7", "functional": "PBE", "state": "optimized geometry", "cell": [[-2.4706, -4.1649, 7.3414], [8.7866, -0.2581, -0.2764], [-2.3022, 8.4375, 0.9251]], "species": ["Os", "Os", "Os", "Os", "Os", "Os", "Os", "Ce", "Ce", "Ce", "Ce", "Ce", "Ce", "Ce", "Ce", "Ce", "Ce", "Ce", "Ce", "Tm"], "frac_coords": [[0.6399, 0.8658, 0.9791], [0.1342, 0.0209, 0.3601], [0.8658, 0.9791, 0.6399], [0.3601, 0.1342, 0.0209], [0.5000, 0.5000, 0.5000], [0.0209, 0.3601, 0.1342], [0.9791, 0.6399, 0.8658], [0.1566, 0.3766, 0.4620], [0.3142, 0.7769, 0.9253], [0.0747, 0.6858, 0.2231], [0.3766, 0.4620, 0.1566], [0.8434, 0.6234, 0.5380], [0.9253, 0.3142, 0.7769], [0.4620, 0.1566, 0.3766], [0.7769, 0.9253, 0.3142], [0.6858, 0.2231, 0.0747], [0.5380, 0.8434, 0.6234], [0.6234, 0.5380, 0.8434], [0.2231, 0.0747, 0.6858], [0.0000, 0.0000, 0.0000]], "spacegroup": "No. 148", "dos_at_fermi_per_ev_cell": 50.8, "formation_enthalpy_0k_ev_per_atom": -0.050, "vol_a3_per_atom": 28.30}